# As2RhCSe

As2RhCSe after structural relaxation (PBE, Alexandria).

Lattice parameters (Å, degrees): 4.664 4.664 5.203 90.00 90.00 90.00
Positions (direct):
As (0.000, 0.500, 0.000)
As (0.500, 0.000, 0.000)
Rh (0.000, 0.000, 0.000)
C (0.500, 0.500, 0.500)
Se (0.000, 0.000, 0.500)

Calculated values
SG   P4/mmm, No. 123
Polymorph energy (0 for the lowest one)   0.694 eV per atom
ΔE_f (raw)   1708 meV per atom